A plane-wave DFT calculation with GGA-PBE was carried out for a relaxed structure of V3SnH.

a = 5.1573 Å, b = 7.0573 Å, c = 7.3622 Å
α = 90.00°, β = 90.00°, γ = 90.00°
Space group Imma (No. 74)
Symmetry-distinct sites (fractional):
V 0.0000 0.0778 0.1372
V 0.2500 0.2500 0.7500
Sn 0.0000 0.0000 0.5000
H 0.0000 0.2500 0.9410

Total energy ... -6.807 eV/atom

***

A plane-wave DFT calculation with GGA-PBE was carried out for a relaxed structure of ZnSb6Rh.

a = 13.5168 Å, b = 9.5101 Å, c = 9.5987 Å
α = 90.00°, β = 134.52°, γ = 90.00°
Space group C2/m (No. 12)
Symmetry-distinct sites (fractional):
Zn 0.2500 0.2500 0.0000
Sb 0.0100 0.1547 0.1618
Sb 0.1485 0.5000 0.7928
Sb 0.1528 0.1539 0.6443
Sb 0.1542 0.5000 0.4903
Rh 0.2500 0.2500 0.5000

E_form (uncorrected) ... -121.1 meV per atom

***

A plane-wave DFT calculation with GGA-PBE was carried out for a relaxed structure of MnPCl.

a = 6.2354 Å, b = 6.2354 Å, c = 6.2354 Å
α = 90.00°, β = 90.00°, γ = 90.00°
Space group F-43m (No. 216)
Symmetry-distinct sites (fractional):
Mn 0.0000 0.0000 0.0000
P 0.2500 0.2500 0.2500
Cl 0.0000 0.0000 0.5000

E_form (uncorrected) ... 575.1 meV per atom

***

A plane-wave DFT calculation with GGA-PBE was carried out for a relaxed structure of Ac2TbNb.

a = 3.5481 Å, b = 3.5481 Å, c = 36.8240 Å
α = 90.00°, β = 90.00°, γ = 120.00°
Space group R-3m (No. 166, hexagonal axes)
Symmetry-distinct sites (fractional):
Ac 0.0000 0.0000 0.0820
Tb 0.0000 0.0000 0.5000
Nb 0.0000 0.0000 0.0000

ΔH_f (0 K) ... 3.13 eV/f.u.

***

Number 1: V 13.4 Å³/atom. Number 2: V 27.5 Å³/atom. Number 3: V 20.2 Å³/atom. Number 4: V 33.5 Å³/atom.